Here is a crystal of AsRh2Br relaxed with PBEsol from Alexandria via LeMat-Bulk. Energies are from SCAN.

Values from the calculation:
- energy relative to the elements, uncorrected (eV/atom) = 0.3030
- magnetization (μB/f.u.) = 0.022
- energy above the lowest structure with this stoichiometry (eV per formula unit) = 2.329
- final energy (Ha/atom) = -0.97368
- Fermi-level density of states (states/eV/cell) = 23.0

a = 6.2605 Å, b = 6.2605 Å, c = 6.2605 Å
α = 90.00°, β = 90.00°, γ = 90.00°
Element x y z (fractional)
As 0.0000 0.0000 0.0000
As 0.0000 0.5000 0.5000
As 0.5000 0.0000 0.5000
As 0.5000 0.5000 0.0000
Rh 0.2500 0.2500 0.2500
Rh 0.2500 0.2500 0.7500
Rh 0.2500 0.7500 0.2500
Rh 0.2500 0.7500 0.7500
Rh 0.7500 0.2500 0.2500
Rh 0.7500 0.2500 0.7500
Rh 0.7500 0.7500 0.2500
Rh 0.7500 0.7500 0.7500
Br 0.0000 0.0000 0.5000
Br 0.0000 0.5000 0.0000
Br 0.5000 0.0000 0.0000
Br 0.5000 0.5000 0.5000